Record 1
RbScReBr2: optimized geometry, PBE.

Cell: 5.9764 5.9764 6.2476 Å, 90.00 90.00 90.00°
Closest atoms and distances in Å follow each position.
Atoms (fractional coordinates):
Rb: 0.0000 0.0000 0.0000  4 Br 2.99, 2 Re 3.12
Sc: 0.5000 0.5000 0.5000  4 Re 4.23, 8 Br 4.32
Re: 0.0000 0.0000 0.5000  2 Rb 3.12
Br: 0.0000 0.5000 0.0000  2 Rb 2.99
Br: 0.5000 0.0000 0.0000  2 Rb 2.99

## Properties
Symmetry ... P4/mmm (123)
Formation energy without anion corrections ... 6.549 eV per formula unit
ρ ... 3545 kg/m3

Record 2
Rb2ReSnBr6: optimized geometry, PBE.

Cell: 7.8565 7.8565 7.8565 Å, 60.00 60.00 60.00°
Closest atoms and distances in Å follow each position.
Atoms (fractional coordinates):
Rb: 0.2500 0.2500 0.2500  12 Br 3.93
Rb: 0.7500 0.7500 0.7500  12 Br 3.93
Re: 0.0000 0.0000 0.0000  6 Br 2.59
Sn: 0.5000 0.5000 0.5000  6 Br 2.97
Br: 0.2329 0.2329 0.7671  1 Re 2.59
Br: 0.2329 0.7671 0.2329  1 Re 2.59
Br: 0.2329 0.7671 0.7671  1 Re 2.59
Br: 0.7671 0.2329 0.2329  1 Re 2.59
Br: 0.7671 0.2329 0.7671  1 Re 2.59
Br: 0.7671 0.7671 0.2329  1 Re 2.59

## Properties
Symmetry ... Fm-3m (225)
Formation energy without anion corrections ... -7.051 eV per formula unit
ρ ... 4626 kg/m3

Record 3
Rb2SrReBr6: optimized geometry, PBE.

Cell: 7.8519 7.8519 7.8519 Å, 60.00 60.00 60.00°
Closest atoms and distances in Å follow each position.
Atoms (fractional coordinates):
Rb: 0.2500 0.2500 0.2500  12 Br 3.93
Rb: 0.7500 0.7500 0.7500  12 Br 3.93
Sr: 0.0000 0.0000 0.0000  6 Br 2.98
Re: 0.5000 0.5000 0.5000  6 Br 2.57
Br: 0.2683 0.2683 0.7317  1 Re 2.57
Br: 0.2683 0.7317 0.2683  1 Re 2.57
Br: 0.2683 0.7317 0.7317  1 Re 2.57
Br: 0.7317 0.2683 0.2683  1 Re 2.57
Br: 0.7317 0.2683 0.7317  1 Re 2.57
Br: 0.7317 0.7317 0.2683  1 Re 2.57

## Properties
Symmetry ... Fm-3m (225)
Formation energy without anion corrections ... -10.890 eV per formula unit
ρ ... 4483 kg/m3

Record 4
Rb2ReTcBr6: optimized geometry, PBE.

Cell: 7.5534 7.5534 7.5534 Å, 60.00 60.00 60.00°
Closest atoms and distances in Å follow each position.
Atoms (fractional coordinates):
Rb: 0.2500 0.2500 0.2500  12 Br 3.78
Rb: 0.7500 0.7500 0.7500  12 Br 3.78
Re: 0.0000 0.0000 0.0000  6 Br 2.60
Tc: 0.5000 0.5000 0.5000  6 Br 2.75
Br: 0.2430 0.2430 0.7570  1 Re 2.60, 1 Tc 2.75
Br: 0.2430 0.7570 0.2430  1 Re 2.60, 1 Tc 2.75
Br: 0.2430 0.7570 0.7570  1 Re 2.60, 1 Tc 2.75
Br: 0.7570 0.2430 0.2430  1 Re 2.60, 1 Tc 2.75
Br: 0.7570 0.2430 0.7570  1 Re 2.60, 1 Tc 2.75
Br: 0.7570 0.7570 0.2430  1 Re 2.60, 1 Tc 2.75

## Properties
Symmetry ... Fm-3m (225)
Formation energy without anion corrections ... -4.539 eV per formula unit
ρ ... 5093 kg/m3

Record 5
Rb2ReTeBr6: optimized geometry, PBE.

Cell: 8.0740 8.0740 8.0740 Å, 117.21 117.21 94.91°
Closest atoms and distances in Å follow each position.
Atoms (fractional coordinates):
Rb: 0.2500 0.7500 0.5000  12 Br 4.06-4.21
Rb: 0.7500 0.2500 0.5000  12 Br 4.06-4.21
Re: 0.0000 0.0000 0.0000  6 Br 2.55-2.59
Te: 0.5000 0.5000 0.0000  2 Br 2.87
Br: 0.2144 0.2144 0.4289  1 Re 2.55
Br: 0.2144 0.7856 0.0000  1 Re 2.55
Br: 0.2369 0.2369 0.0000  1 Re 2.59, 1 Te 2.87
Br: 0.7631 0.7631 0.0000  1 Re 2.59, 1 Te 2.87
Br: 0.7856 0.2144 0.0000  1 Re 2.55
Br: 0.7856 0.7856 0.5711  1 Re 2.55

## Properties
Symmetry ... I4/mmm (139)
Formation energy without anion corrections ... -6.321 eV per formula unit
ρ ... 4144 kg/m3

Record 6
Rb2TiReBr6: optimized geometry, PBE.

Cell: 7.4610 7.4610 7.4610 Å, 119.93 119.93 90.13°
Closest atoms and distances in Å follow each position.
Atoms (fractional coordinates):
Rb: 0.2500 0.7500 0.5000  12 Br 3.73-3.74
Rb: 0.7500 0.2500 0.5000  12 Br 3.73-3.74
Ti: 0.0000 0.0000 0.0000  6 Br 2.69
Re: 0.5000 0.5000 0.0000  6 Br 2.58-2.59
Br: 0.2548 0.2548 0.0000  1 Re 2.58, 1 Ti 2.69
Br: 0.2550 0.2550 0.5099  1 Re 2.59, 1 Ti 2.69
Br: 0.2550 0.7450 0.0000  1 Re 2.59, 1 Ti 2.69
Br: 0.7450 0.2550 0.0000  1 Re 2.59, 1 Ti 2.69
Br: 0.7452 0.7452 0.0000  1 Re 2.58, 1 Ti 2.69
Br: 0.7450 0.7450 0.4901  1 Re 2.59, 1 Ti 2.69

## Properties
Symmetry ... I4/mmm (139)
Formation energy without anion corrections ... -7.320 eV per formula unit
ρ ... 4995 kg/m3